w) First-principles (GGA-PBE) data for Na6Cd2Pb after structural relaxation, as listed in the Alexandria database.

POSCAR file:
```
Na6Cd2Pb
1.0
-4.516 1.805 3.339
-5.008 -1.031 -8.314
0.001 -9.310 2.933
Na Pb Cd
12 2 4
Cartesian
-2.400 -0.290 -0.639
-7.122 -8.247 -1.403
-5.308 -2.164 -2.974
-4.215 -6.372 0.932
-3.696 -8.730 -1.595
-5.649 -4.430 3.000
-5.629 -7.885 -4.791
-7.584 -5.134 -3.586
-1.939 -3.402 1.544
-3.893 -0.652 2.749
-5.827 0.194 -0.447
-3.874 -4.107 -5.042
-5.561 -1.532 -6.186
-3.962 -7.004 4.144
-6.956 -4.873 -0.327
-4.781 -5.638 -2.183
-4.742 -2.898 0.140
-2.566 -3.663 -1.715
```

D(E_F) in states/eV/cell: 8.19

=====

x) First-principles (GGA-PBE) data for Na6Cd2Pb after structural relaxation, as listed in the Alexandria database.

POSCAR file:
```
Na6Cd2Pb
1.0
-0.377 -4.910 2.707
7.191 0.222 4.180
2.018 2.539 7.663
Na Cd Pb
6 2 1
Cartesian
6.697 -1.560 7.846
4.691 -1.735 4.983
7.280 2.152 9.383
4.141 -0.415 9.567
1.552 -4.302 5.167
2.135 -0.590 6.704
5.348 1.226 7.128
3.484 -3.376 7.422
0.000 0.000 0.000
```

D(E_F) in states/eV/cell: 4.61

=====

If you had to name the least stable structure above, which would it be? It would be x).